BiPt3O6 | PBE | relaxed

The structure in POSCAR format:
```
BiPt3O6
1.0
3.6270 -5.1654 0.0000
3.6270 5.1654 0.0000
0.0000 0.0000 3.5035
Bi Pt O
1 3 6
direct
0.0000 0.0000 0.0000 Bi
0.0000 0.5000 0.5000 Pt
0.5000 0.0000 0.5000 Pt
0.5000 0.5000 0.0000 Pt
0.1602 0.8398 0.5000 O
0.1639 0.4286 0.0000 O
0.4286 0.1639 0.0000 O
0.5714 0.8361 0.0000 O
0.8361 0.5714 0.0000 O
0.8398 0.1602 0.5000 O
```

Results
Energy relative to the elements, uncorrected ... -616 meV per atom
Raw total energy ... -57.9 eV for the cell shown
Magnetic moment ... 0.00 μB/f.u.

=====

BiPt3O | PBE | relaxed

The structure in POSCAR format:
```
BiPt3O
1.0
5.0981 0.0000 0.0000
0.0000 5.0981 0.0000
0.0000 0.0000 5.0981
Bi Pt O
1 3 1
direct
0.0000 0.0000 0.0000 Bi
0.0000 0.0000 0.5000 Pt
0.0000 0.5000 0.0000 Pt
0.5000 0.0000 0.0000 Pt
0.5000 0.5000 0.5000 O
```

Results
Energy relative to the elements, uncorrected ... 1808 meV per atom
Raw total energy ... -17.9 eV for the cell shown
Excess energy over the best structure of this formula in the dataset ... 1475.5 meV/atom
Magnetic moment ... 0.00 μB/f.u.

=====

BiPtO4 | PBE | relaxed

The structure in POSCAR format:
```
BiPtO4
1.0
3.4574 -3.5255 0.0000
3.4574 3.5255 0.0000
0.0000 0.0000 3.3681
Bi Pt O
1 1 4
direct
0.0000 0.0000 0.0000 Bi
0.5000 0.5000 0.5000 Pt
0.2113 0.2113 0.5000 O
0.3280 0.6720 0.0000 O
0.6720 0.3280 0.0000 O
0.7887 0.7887 0.5000 O
```

Results
Energy relative to the elements, uncorrected ... -707 meV per atom
Raw total energy ... -34.0 eV for the cell shown
Excess energy over the best structure of this formula in the dataset ... 0.0 meV/atom
Magnetic moment ... 0.00 μB/f.u.

=====

BiPtO | PBE | relaxed

The structure in POSCAR format:
```
BiPtO
1.0
4.5719 -1.7585 0.0000
4.5719 1.7585 0.0000
-0.2024 0.0000 6.8771
Bi Pt O
2 2 2
direct
0.1048 0.1048 0.2903 Bi
0.8952 0.8952 0.7097 Bi
0.1898 0.1898 0.8851 Pt
0.8102 0.8102 0.1149 Pt
0.3779 0.3779 0.3045 O
0.6221 0.6221 0.6955 O
```

Results
Energy relative to the elements, uncorrected ... -274 meV per atom
Raw total energy ... -31.4 eV for the cell shown
Magnetic moment ... 0.00 μB/f.u.

=====

Bi3Pt3O11 | PBE | relaxed

The structure in POSCAR format:
```
Bi3Pt3O11
1.0
9.5180 0.0000 0.0000
0.0000 9.5180 0.0000
0.0000 0.0000 9.5180
Bi Pt O
12 12 44
direct
0.0000 0.0000 0.0000 Bi
0.0000 0.5000 0.5000 Bi
0.1177 0.1177 0.3823 Bi
0.1177 0.3823 0.1177 Bi
0.3823 0.1177 0.1177 Bi
0.3823 0.3823 0.3823 Bi
0.5000 0.0000 0.5000 Bi
0.5000 0.5000 0.0000 Bi
0.6177 0.6177 0.6177 Bi
0.6177 0.8823 0.8823 Bi
0.8823 0.6177 0.8823 Bi
0.8823 0.8823 0.6177 Bi
0.0920 0.2500 0.7500 Pt
0.2500 0.5920 0.7500 Pt
0.2500 0.7500 0.0920 Pt
0.2500 0.7500 0.4080 Pt
0.2500 0.9080 0.7500 Pt
0.4080 0.2500 0.7500 Pt
0.5920 0.7500 0.2500 Pt
0.7500 0.0920 0.2500 Pt
0.7500 0.2500 0.5920 Pt
0.7500 0.2500 0.9080 Pt
0.7500 0.4080 0.2500 Pt
0.9080 0.7500 0.2500 Pt
0.0383 0.7445 0.4188 O
0.0383 0.7555 0.0812 O
0.0812 0.0383 0.7555 O
0.0812 0.4617 0.7445 O
0.1053 0.7500 0.7500 O
0.1471 0.1471 0.1471 O
0.1471 0.3529 0.3529 O
0.2445 0.5812 0.5383 O
0.2445 0.9188 0.9617 O
0.2500 0.2500 0.6053 O
0.2500 0.2500 0.8947 O
0.2500 0.6053 0.2500 O
0.2500 0.8947 0.2500 O
0.2555 0.5812 0.9617 O
0.2555 0.9188 0.5383 O
0.3529 0.1471 0.3529 O
0.3529 0.3529 0.1471 O
0.3947 0.7500 0.7500 O
0.4188 0.0383 0.7445 O
0.4188 0.4617 0.7555 O
0.4617 0.7445 0.0812 O
0.4617 0.7555 0.4188 O
0.5383 0.2445 0.5812 O
0.5383 0.2555 0.9188 O
0.5812 0.5383 0.2445 O
0.5812 0.9617 0.2555 O
0.6053 0.2500 0.2500 O
0.6471 0.6471 0.8529 O
0.6471 0.8529 0.6471 O
0.7445 0.0812 0.4617 O
0.7445 0.4188 0.0383 O
0.7500 0.1053 0.7500 O
0.7500 0.3947 0.7500 O
0.7500 0.7500 0.1053 O
0.7500 0.7500 0.3947 O
0.7555 0.0812 0.0383 O
0.7555 0.4188 0.4617 O
0.8529 0.6471 0.6471 O
0.8529 0.8529 0.8529 O
0.8947 0.2500 0.2500 O
0.9188 0.5383 0.2555 O
0.9188 0.9617 0.2445 O
0.9617 0.2445 0.9188 O
0.9617 0.2555 0.5812 O
```

Results
Energy relative to the elements, uncorrected ... -874 meV per atom
Raw total energy ... -396.6 eV for the cell shown
Magnetic moment ... 0.00 μB/f.u.

=====

BiPt3O8 | PBE | relaxed

The structure in POSCAR format:
```
BiPt3O8
1.0
5.6580 0.0000 0.0000
-2.8290 4.9000 0.0000
0.0000 0.0000 5.8704
Bi Pt O
1 3 8
direct
0.0000 0.0000 0.0000 Bi
0.0000 0.0000 0.5000 Pt
0.3333 0.6667 0.5590 Pt
0.6667 0.3333 0.4410 Pt
0.0661 0.3565 0.3454 O
0.2905 0.9339 0.3454 O
0.3333 0.6667 0.8830 O
0.3565 0.2905 0.6546 O
0.6435 0.7095 0.3454 O
0.6667 0.3333 0.1170 O
0.7095 0.0661 0.6546 O
0.9339 0.6435 0.6546 O
```

Results
Energy relative to the elements, uncorrected ... 24 meV per atom
Raw total energy ... -61.4 eV for the cell shown
Excess energy over the best structure of this formula in the dataset ... 632.3 meV/atom
Magnetic moment ... 0.00 μB/f.u.

=====

BiPt2O6 | PBE | relaxed

The structure in POSCAR format:
```
BiPt2O6
1.0
6.5460 0.0000 0.0000
-3.2730 5.6690 0.0000
0.0000 0.0000 3.0165
Bi Pt O
1 2 6
direct
0.0000 0.0000 0.0000 Bi
0.3333 0.6667 0.7332 Pt
0.6667 0.3333 0.2668 Pt
0.2099 0.4197 0.2280 O
0.2099 0.7901 0.2280 O
0.4197 0.2099 0.7720 O
0.5803 0.7901 0.2280 O
0.7901 0.2099 0.7720 O
0.7901 0.5803 0.7720 O
```

Results
Energy relative to the elements, uncorrected ... -92 meV per atom
Raw total energy ... -46.5 eV for the cell shown
Excess energy over the best structure of this formula in the dataset ... 592.7 meV/atom
Magnetic moment ... 0.00 μB/f.u.

=====

BiPt2O6 | PBE | relaxed

The structure in POSCAR format:
```
BiPt2O6
1.0
5.3451 0.0000 0.0000
-2.6725 4.6290 0.0000
0.0000 0.0000 4.7990
Bi Pt O
1 2 6
direct
0.0000 0.0000 0.0000 Bi
0.3333 0.6667 0.5000 Pt
0.6667 0.3333 0.5000 Pt
0.0000 0.3660 0.7278 O
0.0000 0.6340 0.2722 O
0.3660 0.0000 0.7278 O
0.3660 0.3660 0.2722 O
0.6340 0.0000 0.2722 O
0.6340 0.6340 0.7278 O
```

Results
Energy relative to the elements, uncorrected ... -685 meV per atom
Raw total energy ... -51.9 eV for the cell shown
Excess energy over the best structure of this formula in the dataset ... 0.0 meV/atom
Magnetic moment ... 0.00 μB/f.u.

=====

BiPt3O | PBE | relaxed

The structure in POSCAR format:
```
BiPt3O
1.0
4.4270 0.0000 0.0000
0.0000 4.4270 0.0000
0.0000 0.0000 4.4270
Bi Pt O
1 3 1
direct
0.0000 0.0000 0.0000 Bi
0.0000 0.5000 0.5000 Pt
0.5000 0.0000 0.5000 Pt
0.5000 0.5000 0.0000 Pt
0.5000 0.5000 0.5000 O
```

Results
Energy relative to the elements, uncorrected ... 332 meV per atom
Raw total energy ... -25.3 eV for the cell shown
Excess energy over the best structure of this formula in the dataset ... 0.0 meV/atom
Magnetic moment ... 0.00 μB/f.u.

=====

PuBiPtO6 | PBE | relaxed

The structure in POSCAR format:
```
PuBiPtO6
1.0
5.4159 0.0000 0.0000
-2.7079 4.6903 0.0000
0.0000 0.0000 10.2763
Pu Bi Pt O
2 2 2 12
direct
0.3333 0.6667 0.2500 Pu
0.6667 0.3333 0.7500 Pu
0.0000 0.0000 0.0000 Bi
0.0000 0.0000 0.5000 Bi
0.3333 0.6667 0.7500 Pt
0.6667 0.3333 0.2500 Pt
0.0140 0.3605 0.6375 O
0.0140 0.6535 0.8625 O
0.3465 0.3605 0.8625 O
0.3465 0.9860 0.6375 O
0.3605 0.0140 0.1375 O
0.3605 0.3465 0.3625 O
0.6395 0.6535 0.6375 O
0.6395 0.9860 0.8625 O
0.6535 0.0140 0.3625 O
0.6535 0.6395 0.1375 O
0.9860 0.3465 0.1375 O
0.9860 0.6395 0.3625 O
```

Results
Energy relative to the elements, uncorrected ... -1570 meV per atom
Raw total energy ... -136.3 eV for the cell shown
Magnetic moment ... 3.00 μB/f.u.

=====

PuBi2PtO8 | PBE | relaxed

The structure in POSCAR format:
```
PuBi2PtO8
1.0
5.1161 0.0000 0.0000
0.0000 6.8595 0.0000
-0.0936 0.0000 5.1266
Pu Bi Pt O
1 2 1 8
direct
0.0000 0.0000 0.0000 Pu
0.5000 0.2629 0.5000 Bi
0.5000 0.7371 0.5000 Bi
0.0000 0.5000 0.0000 Pt
0.1769 0.2595 0.8291 O
0.1769 0.7405 0.8291 O
0.2725 0.0000 0.2799 O
0.2825 0.5000 0.2882 O
0.7175 0.5000 0.7118 O
0.7275 0.0000 0.7201 O
0.8231 0.2595 0.1709 O
0.8231 0.7405 0.1709 O
```

Results
Energy relative to the elements, uncorrected ... -1390 meV per atom
Raw total energy ... -84.5 eV for the cell shown
Magnetic moment ... 1.98 μB/f.u.

=====

Rb2BiPtO4 | PBE | relaxed

The structure in POSCAR format:
```
Rb2BiPtO4
1.0
0.0000 7.1080 11.0664
3.2307 0.0000 11.0664
3.2307 7.1080 0.0000
Rb Bi Pt O
4 2 2 8
direct
0.0555 0.0555 0.6945 Rb
0.3055 0.3055 0.9445 Rb
0.6945 0.6945 0.0555 Rb
0.9445 0.9445 0.3055 Rb
0.1250 0.1250 0.1250 Bi
0.8750 0.8750 0.8750 Bi
0.3750 0.3750 0.3750 Pt
0.6250 0.6250 0.6250 Pt
0.0540 0.6963 0.5054 O
0.2443 0.5054 0.6963 O
0.3037 0.9460 0.7557 O
0.4946 0.7557 0.9460 O
0.5054 0.2443 0.0540 O
0.6963 0.0540 0.2443 O
0.7557 0.4946 0.3037 O
0.9460 0.3037 0.4946 O
```

Results
Energy relative to the elements, uncorrected ... -869 meV per atom
Raw total energy ... -77.3 eV for the cell shown
Magnetic moment ... 0.00 μB/f.u.